The following is a GGA-PBE calculation of TlCuRh2 after structural relaxation, from the Alexandria database.

## Properties
N(E_F) = 2.8 states/eV per cell
final energy = -5.08 eV per atom
formation energy from the elements = 0.21 eV per atom
symmetry = P2/m
crystal system = monoclinic

Cell: 2.8949 4.2446 5.3993 Å, 90.00 105.52 90.00°
Sites, in units of the cell vectors:
Tl1 0.0000 0.0000 0.0000
Cu1 0.5000 0.0000 0.5000
Rh1 0.3451 0.5000 0.7257
Rh2 0.6549 0.5000 0.2743

=====

The following is a GGA-PBE calculation of RbAlZnF6 after structural relaxation, from the Alexandria database.

## Properties
N(E_F) = 0.0 states/eV per cell
final energy = -4.95 eV per atom
symmetry = Imma
crystal system = orthorhombic
raw formation energy = -3.034 eV/atom

Cell: 7.2098 7.2098 7.2098 Å, 120.41 119.73 89.89°
Sites, in units of the cell vectors:
Rb1 0.3724 0.1224 0.2500
Rb2 0.6276 0.8776 0.7500
Al1 0.0000 0.0000 0.5000
Al2 0.0000 0.5000 0.0000
Zn1 0.0000 0.5000 0.5000
Zn2 0.5000 0.5000 0.0000
F1 0.0408 0.7908 0.2500
F2 0.0558 0.4103 0.2116
F3 0.0558 0.8442 0.6455
F4 0.3013 0.1558 0.7116
F5 0.3013 0.5897 0.1455
F6 0.3366 0.5866 0.7500
F7 0.6634 0.4134 0.2500
F8 0.6987 0.4103 0.8545
F9 0.6987 0.8442 0.2884
F10 0.9442 0.1558 0.3545
F11 0.9442 0.5897 0.7884
F12 0.9592 0.2092 0.7500

=====

The following is a GGA-PBE calculation of TlCr2 after structural relaxation, from the Alexandria database.

## Properties
N(E_F) = 3.3 states/eV per cell
final energy = -6.76 eV per atom
formation energy from the elements = 0.44 eV per atom
symmetry = Cmcm
crystal system = orthorhombic
excess energy over the best structure of this formula in the dataset = 0 meV per atom

Cell: 9.5685 9.5685 4.0518 Å, 90.00 90.00 162.18°
Sites, in units of the cell vectors:
Tl1 0.1845 0.8155 0.7500
Tl2 0.8155 0.1845 0.2500
Cr1 0.0535 0.9465 0.2500
Cr2 0.4480 0.5520 0.2500
Cr3 0.5520 0.4480 0.7500
Cr4 0.9465 0.0535 0.7500

=====

The following is a GGA-PBE calculation of HfNiAu after structural relaxation, from the Alexandria database.

## Properties
N(E_F) = 2.8 states/eV per cell
final energy = -6.67 eV per atom
formation energy from the elements = -0.33 eV per atom
symmetry = P-6m2
crystal system = hexagonal
excess energy over the best structure of this formula in the dataset = 219 meV per atom

Cell: 4.3904 4.3904 3.0260 Å, 90.00 90.00 120.00°
Sites, in units of the cell vectors:
Hf1 0.0000 0.0000 0.0000
Ni1 0.6667 0.3333 0.5000
Au1 0.3333 0.6667 0.5000

=====

The following is a GGA-PBE calculation of Li2RhBr after structural relaxation, from the Alexandria database.

## Properties
N(E_F) = 1.3 states/eV per cell
final energy = -3.37 eV per atom
symmetry = I4/mmm
crystal system = tetragonal
excess energy over the best structure of this formula in the dataset = 233 meV per atom
raw formation energy = -0.157 eV/atom

Cell: 4.7684 4.7684 4.7684 Å, 130.15 130.15 73.17°
Sites, in units of the cell vectors:
Li1 0.2500 0.7500 0.5000
Li2 0.7500 0.2500 0.5000
Rh1 0.0000 0.0000 0.0000
Br1 0.5000 0.5000 0.0000

=====

The following is a GGA-PBE calculation of Cs2KInPd after structural relaxation, from the Alexandria database.

## Properties
N(E_F) = 3.7 states/eV per cell
final energy = -2.16 eV per atom
formation energy from the elements = -0.01 eV per atom
symmetry = P4/mmm
crystal system = tetragonal

Cell: 6.9081 6.9081 5.3814 Å, 90.00 90.00 90.00°
Sites, in units of the cell vectors:
Cs1 0.0000 0.5000 0.0000
Cs2 0.5000 0.0000 0.0000
K1 0.0000 0.0000 0.5000
In1 0.5000 0.5000 0.5000
Pd1 0.5000 0.5000 0.0000

=====

The following is a GGA-PBE calculation of TlPAuS4 after structural relaxation, from the Alexandria database.

## Properties
N(E_F) = 10.9 states/eV per cell
final energy = -4.02 eV per atom
symmetry = Cmcm
crystal system = orthorhombic
raw formation energy = -0.081 eV/atom

Cell: 7.4391 7.4391 7.3175 Å, 90.00 90.00 112.42°
Sites, in units of the cell vectors:
Tl1 0.0000 0.0000 0.0000
Tl2 0.0000 0.0000 0.5000
P1 0.3557 0.6443 0.7500
P2 0.6443 0.3557 0.2500
Au1 0.3720 0.6280 0.2500
Au2 0.6280 0.3720 0.7500
S1 0.2576 0.7424 0.5247
S2 0.2576 0.7424 0.9753
S3 0.2785 0.3450 0.7500
S4 0.3450 0.2785 0.2500
S5 0.6550 0.7215 0.7500
S6 0.7215 0.6550 0.2500
S7 0.7424 0.2576 0.0247
S8 0.7424 0.2576 0.4753

=====

The following is a GGA-PBE calculation of TbHo5ErIn2 after structural relaxation, from the Alexandria database.

## Properties
N(E_F) = 25.1 states/eV per cell
final energy = -4.16 eV per atom
formation energy from the elements = 0.01 eV per atom
symmetry = I4/mcm
crystal system = tetragonal

Cell: 11.0905 11.0905 11.0905 Å, 139.99 139.99 57.87°
Sites, in units of the cell vectors:
Tb1 0.2500 0.2500 0.0000
Tb2 0.7500 0.7500 0.0000
Ho1 0.0000 0.0000 0.0000
Ho2 0.0772 0.5772 0.9015
Ho3 0.1757 0.0772 0.5000
Ho4 0.3243 0.8243 0.9015
Ho5 0.4228 0.3243 0.5000
Ho6 0.5000 0.5000 0.0000
Ho7 0.5772 0.6757 0.5000
Ho8 0.6757 0.1757 0.0985
Ho9 0.8243 0.9228 0.5000
Ho10 0.9228 0.4228 0.0985
Er1 0.2500 0.7500 0.5000
Er2 0.7500 0.2500 0.5000
In1 0.1241 0.3759 0.5000
In2 0.3759 0.8759 0.2517
In3 0.6241 0.1241 0.7483
In4 0.8759 0.6241 0.5000

=====

The following is a GGA-PBE calculation of CaFe2RhAu after structural relaxation, from the Alexandria database.

## Properties
N(E_F) = 6.8 states/eV per cell
final energy = -5.43 eV per atom
formation energy from the elements = 0.48 eV per atom
symmetry = P4/mmm
crystal system = tetragonal

Cell: 4.6264 4.6264 5.2054 Å, 90.00 90.00 90.00°
Sites, in units of the cell vectors:
Ca1 0.0000 0.0000 0.0000
Fe1 0.0000 0.5000 0.5000
Fe2 0.5000 0.0000 0.5000
Rh1 0.5000 0.5000 0.5000
Au1 0.5000 0.5000 0.0000

=====

The following is a GGA-PBE calculation of BeCdRe after structural relaxation, from the Alexandria database.

## Properties
N(E_F) = 2.1 states/eV per cell
final energy = -5.24 eV per atom
formation energy from the elements = 0.46 eV per atom
symmetry = P3m1
crystal system = trigonal
excess energy over the best structure of this formula in the dataset = 5 meV per atom

Cell: 2.7966 2.7966 6.6532 Å, 90.00 90.00 120.00°
Sites, in units of the cell vectors:
Be1 0.0000 0.0000 0.0000
Cd1 0.6667 0.3333 0.3417
Re1 0.3333 0.6667 0.7246

=====

The following is a GGA-PBE calculation of Er4Al2In after structural relaxation, from the Alexandria database.

## Properties
N(E_F) = 7.0 states/eV per cell
final energy = -4.32 eV per atom
formation energy from the elements = -0.25 eV per atom
symmetry = R-3m
crystal system = trigonal
excess energy over the best structure of this formula in the dataset = 0 meV per atom

Cell: 8.7435 8.7435 8.7435 Å, 33.74 33.74 33.74°
Sites, in units of the cell vectors:
Er1 0.1162 0.1162 0.1162
Er2 0.3697 0.3697 0.3697
Er3 0.6303 0.6303 0.6303
Er4 0.8838 0.8838 0.8838
Al1 0.2485 0.2485 0.2485
Al2 0.7515 0.7515 0.7515
In1 0.5000 0.5000 0.5000

=====

The following is a GGA-PBE calculation of HgSb2F2 after structural relaxation, from the Alexandria database.

## Properties
N(E_F) = 1.3 states/eV per cell
final energy = -3.24 eV per atom
symmetry = I4/mmm
crystal system = tetragonal
excess energy over the best structure of this formula in the dataset = 48 meV per atom
raw formation energy = -0.784 eV/atom

Cell: 7.4964 7.4964 7.4964 Å, 151.28 151.28 41.06°
Sites, in units of the cell vectors:
Hg1 0.0000 0.0000 0.0000
Sb1 0.3717 0.3717 0.0000
Sb2 0.6283 0.6283 0.0000
F1 0.2500 0.7500 0.5000
F2 0.7500 0.2500 0.5000